# 1
A plane-wave DFT calculation with PBE-GGA was carried out for crystalline LaFeCuMo at its relaxed geometry.

Values from the calculation:
- Polymorph energy (0 for the lowest one): 0 kJ/mol of formula units
- Space group: F-43m, No. 216
- Total magnetization: 3.456 μB/f.u.

abc: 4.666 4.666 4.666
angles: 60.00 60.00 60.00
Fractional positions:
1 La 0.000 0.000 0.000
2 Fe 0.250 0.250 0.250
3 Cu 0.750 0.750 0.750
4 Mo 0.500 0.500 0.500

=====

# 2
A plane-wave DFT calculation with PBE-GGA was carried out for crystalline La2FeCuN6 at its relaxed geometry.

Values from the calculation:
- Space group: P-1, No. 2
- Total magnetization: 4.233 μB/f.u.
- DFT total energy: -70.368 eV per formula unit

abc: 5.408 5.427 5.439
angles: 61.88 60.69 60.90
Fractional positions:
1 La 0.250 0.249 0.250
2 La 0.750 0.751 0.750
3 Fe 0.000 0.000 0.000
4 Cu 0.500 0.500 0.500
5 N 0.211 0.278 0.779
6 N 0.247 0.807 0.705
7 N 0.278 0.737 0.212
8 N 0.722 0.263 0.788
9 N 0.753 0.193 0.295
10 N 0.789 0.722 0.221

=====

# 3
A plane-wave DFT calculation with PBE-GGA was carried out for crystalline LaFeCuP2 at its relaxed geometry.

Values from the calculation:
- Space group: I-4m2, No. 119
- Total magnetization: 1.720 μB/f.u.
- DFT total energy: -31.664 eV per formula unit

abc: 6.150 6.150 6.150
angles: 143.37 143.37 52.78
Fractional positions:
1 La 0.000 0.000 0.000
2 Fe 0.750 0.250 0.500
3 Cu 0.250 0.750 0.500
4 P 0.364 0.364 0.000
5 P 0.636 0.636 0.000

=====

Question: The highest total magnetization belongs to which entry?
Answer: La2FeCuN6